Entry from Alexandria: a relaxed structure of Li2VFeO5 (PBE with a Hubbard U).

Calculated values
N(E_F) = 0.00 states/eV/cell
Total DFT energy (no corrections) = -6.490 eV/atom
Crystal system = tetragonal

Cell: 6.6356 6.6356 4.6695 Å, 90.00 90.00 90.00°
Space group P4/nmm (No. 129, origin choice 2)
Asymmetric unit:
1 Li 0.0000 0.0000 0.0000
2 V 0.2500 0.2500 0.3716
3 Fe 0.2500 0.7500 0.5000
4 O 0.0231 0.7500 0.7453
5 O 0.2500 0.2500 0.7289